1.
# BMoS2Cl

A geometry-optimized BMoS2Cl structure (PBE, Alexandria via LeMat-Bulk).

Formation energy without anion corrections = 802 meV/atom
DOS(E_F) = 3.90 states/eV per cell
Energy = -4.720 eV per atom
ρ = 3.20 g/cm³
E above lowest polymorph = 0.00 eV/f.u.

```
data_BMoS2Cl
_space_group_name_H-M_alt 'P 4/m m m'
_space_group_IT_number 123
_space_group_name_Hall '-P 4 2'
_cell_length_a 4.642
_cell_length_b 4.642
_cell_length_c 4.968
_cell_angle_alpha 90.00
_cell_angle_beta 90.00
_cell_angle_gamma 90.00
loop_
_atom_site_label
_atom_site_fract_x
_atom_site_fract_y
_atom_site_fract_z
B1 0.000 0.000 0.000
Mo1 0.500 0.500 0.500
S1 0.000 0.500 0.500
Cl1 0.500 0.500 0.000
```


2.
# BMoS2Cl

A geometry-optimized BMoS2Cl structure (PBE, Alexandria via LeMat-Bulk).

Formation energy without anion corrections = 829 meV/atom
DOS(E_F) = 2.89 states/eV per cell
Energy = -4.693 eV per atom
ρ = 4.47 g/cm³
E above lowest polymorph = 0.14 eV/f.u.

```
data_BMoS2Cl
_space_group_name_H-M_alt 'P 4/m m m'
_space_group_IT_number 123
_space_group_name_Hall '-P 4 2'
_cell_length_a 4.334
_cell_length_b 4.334
_cell_length_c 4.078
_cell_angle_alpha 90.00
_cell_angle_beta 90.00
_cell_angle_gamma 90.00
loop_
_atom_site_label
_atom_site_fract_x
_atom_site_fract_y
_atom_site_fract_z
B1 0.000 0.000 0.000
Mo1 0.500 0.500 0.500
S1 0.000 0.500 0.000
Cl1 0.000 0.000 0.500
```